! AcPu2Ru2 PBE-GGA relaxed; values from VASP
&SYSTEM
  ibrav = 0, nat = 10, ntyp = 3
/
ATOMIC_SPECIES
Ac 227.00 Ac.upf
Pu 244.00 Pu.upf
Ru 101.07 Ru.upf
ATOMIC_POSITIONS angstrom
Ac 0.000 0.000 0.000
Ac 2.287 2.287 5.879
Pu 0.000 2.287 2.940
Pu 0.000 2.287 8.819
Pu 2.287 0.000 2.940
Pu 2.287 0.000 8.819
Ru 0.000 0.000 4.466
Ru 0.000 0.000 7.293
Ru 2.287 2.287 1.414
Ru 2.287 2.287 10.345
CELL_PARAMETERS angstrom
4.575 0.000 0.000
0.000 4.575 0.000
0.000 0.000 11.759
! relative energy among the computed polymorphs	0.0	meV per atom
! space-group type	I4/mmm
! size of the total moment	1.9643	μB per atom



! Ac12PuRu7 PBE-GGA relaxed; values from VASP
&SYSTEM
  ibrav = 0, nat = 20, ntyp = 3
/
ATOMIC_SPECIES
Ac 227.00 Ac.upf
Pu 244.00 Pu.upf
Ru 101.07 Ru.upf
ATOMIC_POSITIONS angstrom
Ac -0.586 -2.220 1.917
Ac -1.629 1.617 1.917
Ac -3.293 -3.219 4.797
Ac -4.435 1.243 4.865
Ac 2.215 0.602 1.917
Ac 1.141 -4.462 4.865
Ac -1.141 4.462 4.798
Ac -2.215 -0.602 7.745
Ac 4.435 -1.243 4.798
Ac 3.293 3.219 4.865
Ac 1.629 -1.617 7.745
Ac 0.586 2.220 7.745
Pu 0.000 0.000 4.831
Ru 0.000 0.000 0.000
Ru -2.374 -0.594 3.911
Ru 1.701 -1.759 3.911
Ru -0.673 -2.353 5.751
Ru 0.673 2.353 3.911
Ru -1.701 1.759 5.751
Ru 2.374 0.594 5.751
CELL_PARAMETERS angstrom
7.733 4.464 3.221
-7.733 4.464 3.221
0.000 -8.929 3.221
! space-group type	R-3
! size of the total moment	0.1467	μB per atom



! Ac2Pu2Ru3 PBE-GGA relaxed; values from VASP
&SYSTEM
  ibrav = 0, nat = 7, ntyp = 3
/
ATOMIC_SPECIES
Ac 227.00 Ac.upf
Pu 244.00 Pu.upf
Ru 101.07 Ru.upf
ATOMIC_POSITIONS angstrom
Ac 0.012 1.065 2.708
Ac 2.084 3.631 4.830
Pu 0.032 4.128 0.550
Pu 2.064 0.568 6.988
Ru 0.000 0.000 0.000
Ru -0.066 1.368 5.751
Ru 2.162 3.327 1.788
CELL_PARAMETERS angstrom
4.290 0.000 0.000
-2.096 5.773 0.000
-0.098 -1.077 7.538
! space-group type	P-1
! size of the total moment	1.2563	μB per atom



Energy of formation from the pure elements readings, ordered: -0.06, -0.16, -0.08 eV/atom